# 1
TcPRh | GGA-PBE | optimized geometry

```
3
Lattice="-3.096 0.276 2.587 1.911 -3.529 -0.496 1.861 0.705 2.152" Properties=species:S:1:pos:R:3 pbc="T T T"
Tc 1.663 -1.722 2.175
P 1.836 0.696 2.123
Rh -0.962 -0.816 2.096
```

Values from the calculation:
- density of states at the Fermi level (states/eV/cell) = 4.66
- ΔH_f (0 K) (eV per formula unit) = -0.614
- SG = No. 156
- energy relative to the lowest polymorph listed for this composition (eV/f.u.) = 0.67
- total magnetization (μB per formula unit) = 0.008

***

# 2
TcP2Rh | GGA-PBE | optimized geometry

```
4
Lattice="2.869 0.000 0.000 0.000 2.869 0.000 0.000 0.000 7.593" Properties=species:S:1:pos:R:3 pbc="T T T"
Tc 1.434 1.434 5.768
P 0.000 0.000 7.107
P 1.434 1.434 2.366
Rh 0.000 0.000 3.741
```

Values from the calculation:
- density of states at the Fermi level (states/eV/cell) = 4.72
- ΔH_f (0 K) (eV per formula unit) = -0.423
- SG = No. 99
- energy relative to the lowest polymorph listed for this composition (eV/f.u.) = 1.32
- total magnetization (μB per formula unit) = 0.000

***

# 3
TcP2Rh | GGA-PBE | optimized geometry

```
4
Lattice="2.978 -0.001 0.000 -1.525 2.558 0.000 0.000 0.000 7.540" Properties=species:S:1:pos:R:3 pbc="T T T"
Rh 0.727 1.279 1.885
P 0.000 0.000 3.779
P 0.000 0.000 7.531
Tc 0.727 1.279 5.655
```

Values from the calculation:
- density of states at the Fermi level (states/eV/cell) = 2.72
- ΔH_f (0 K) (eV per formula unit) = 0.183
- SG = No. 65
- energy relative to the lowest polymorph listed for this composition (eV/f.u.) = 1.93
- total magnetization (μB per formula unit) = 0.000

***

# 4
Tc2PRh | GGA-PBE | optimized geometry

```
4
Lattice="3.888 0.000 0.000 0.000 2.818 0.001 0.000 1.259 5.082" Properties=species:S:1:pos:R:3 pbc="T T T"
Tc 0.000 0.667 1.175
Tc 0.000 3.409 3.908
Rh 1.944 2.038 2.541
P 1.944 1.409 0.001
```

Values from the calculation:
- density of states at the Fermi level (states/eV/cell) = 3.58
- ΔH_f (0 K) (eV per formula unit) = -0.592
- SG = No. 10
- total magnetization (μB per formula unit) = 0.000

***

# 5
Tc2PRh | GGA-PBE | optimized geometry

```
4
Lattice="1.414 -5.067 0.000 1.414 5.067 0.000 0.000 0.000 3.885" Properties=species:S:1:pos:R:3 pbc="T T T"
P 1.414 -2.106 0.000
Tc 1.414 -4.428 0.000
Tc 1.414 1.897 1.942
Rh 1.414 -0.784 1.942
```

Values from the calculation:
- density of states at the Fermi level (states/eV/cell) = 3.06
- ΔH_f (0 K) (eV per formula unit) = -0.911
- SG = No. 38
- total magnetization (μB per formula unit) = 0.000

***

# 6
TcPRh3 | GGA-PBE | optimized geometry

```
5
Lattice="-0.212 -4.101 2.172 3.755 -1.429 -2.332 2.727 1.649 3.380" Properties=species:S:1:pos:R:3 pbc="T T T"
Rh 1.877 -0.715 -1.166
Rh 1.363 0.824 1.690
Rh -0.106 -2.050 1.086
P 3.135 -1.941 1.610
Tc 0.000 0.000 0.000
```

Values from the calculation:
- density of states at the Fermi level (states/eV/cell) = 5.35
- ΔH_f (0 K) (eV per formula unit) = 7.231
- SG = No. 221
- energy relative to the lowest polymorph listed for this composition (eV/f.u.) = 5.30
- total magnetization (μB per formula unit) = 0.000